# 1
Material: TaCo2Pt8
Method: DFT, PBE-GGA
State: relaxed

Cell lengths 3.936, 6.223, 7.323 Å; angles 105.59, 105.59, 90.00 degrees
Positions (direct):
Co  0.776  0.375  0.552
Co  0.224  0.625  0.448
Pt  0.599  0.452  0.198
Pt  0.047  0.728  0.095
Pt  0.138  0.188  0.276
Pt  0.953  0.272  0.905
Pt  0.401  0.548  0.802
Pt  0.317  0.081  0.633
Pt  0.683  0.919  0.367
Pt  0.862  0.812  0.724
Ta  0.500  0.000  0.000

Calculated values
Space group = C2/m
VASP energy = -7.070 eV/atom
ΔH_f (0 K) = -307.0 meV/atom
N(E_F) = 1.032 states/eV/atom



# 2
Material: Ta2CoPt2
Method: DFT, PBE-GGA
State: relaxed

Cell lengths 4.464, 4.464, 5.865 Å; angles 67.64, 67.64, 90.00 degrees
Positions (direct):
Co  0.000  0.000  0.000
Pt  0.625  0.625  0.751
Pt  0.375  0.375  0.249
Ta  0.250  0.750  0.500
Ta  0.750  0.250  0.500

Calculated values
E above lowest polymorph = 465 meV/atom
Space group = I4/mmm
VASP energy = -8.320 eV/atom
ΔH_f (0 K) = 258.2 meV/atom
N(E_F) = 0.900 states/eV/atom